Compound: Ti2CdPb
Source: the Alexandria database
Functional: PBE
Structure: optimized geometry

Cell lengths 6.166, 6.166, 6.166 Å; angles 103.24, 103.24, 122.81 degrees
Atoms (fractional coordinates):
Ti 0.123 0.125 0.498
Ti 0.375 0.877 0.002
Ti 0.627 0.625 0.502
Ti 0.875 0.373 0.998
Cd 0.000 0.000 0.000
Cd 0.750 0.250 0.500
Pb 0.250 0.750 0.500
Pb 0.500 0.500 0.000

Total magnetization: 0.00 μB per cell
Formation energy: 0.37 eV per atom
Calculated volume: 21.628 A^3/atom
Symmetry: I-42d
DOS at the Fermi energy: 5.13 states/eV/f.u.